1.
Compound: FeTeN3
Source: the Alexandria database
Functional: PBE-GGA
Structure: optimized geometry

a = 3.924 Å, b = 3.924 Å, c = 3.924 Å
α = 90.00°, β = 90.00°, γ = 90.00°
Each line ends with the local moment (μB).
Fractional coordinates of all 5 atoms:
N: 0.000 0.500 0.000  0.28
N: 0.000 0.000 0.500  0.23
N: 0.500 0.000 0.000  0.21
Te: 0.000 0.000 0.000  -0.01
Fe: 0.500 0.500 0.500  3.60

Properties
Total DFT energy (no corrections) (eV per atom): -5.489
Formation energy from raw total energies (eV/atom): 1.827
Symmetry: Pm-3m (221)


2.
Compound: Sr3ScTl4
Source: the Alexandria database
Functional: PBE-GGA
Structure: optimized geometry

a = 3.910 Å, b = 3.910 Å, c = 16.339 Å
α = 90.00°, β = 90.00°, γ = 90.00°
Fractional coordinates of all 8 atoms:
Tl: 0.000 0.000 0.899
Tl: 0.000 0.000 0.630
Tl: 0.000 0.000 0.370
Tl: 0.000 0.000 0.101
Sr: 0.500 0.500 0.500
Sr: 0.500 0.500 0.764
Sr: 0.500 0.500 0.236
Sc: 0.500 0.500 0.000

Properties
Total DFT energy (no corrections) (eV per atom): -2.964
Symmetry: P4/mmm (123)
Formation energy from the elements (eV/atom): -0.36


3.
Compound: TaNbSb2I
Source: the Alexandria database
Functional: PBE-GGA
Structure: optimized geometry

a = 5.347 Å, b = 5.347 Å, c = 5.492 Å
α = 90.00°, β = 90.00°, γ = 90.00°
Each line ends with the local moment (μB).
Fractional coordinates of all 5 atoms:
Sb: 0.000 0.500 0.000  -0.09
Sb: 0.500 0.000 0.000  -0.09
I: 0.000 0.000 0.500  -0.09
Ta: 0.000 0.000 0.000  0.29
Nb: 0.500 0.500 0.500  2.80

Properties
Total DFT energy (no corrections) (eV per atom): -5.213
Formation energy from raw total energies (eV/atom): 1.131
Symmetry: P4/mmm (123)
Excess energy over the best structure of this formula in the dataset (kJ/mol of formula units): 0


4.
Compound: CdBi
Source: the Alexandria database
Functional: PBE-GGA
Structure: optimized geometry

a = 9.963 Å, b = 9.963 Å, c = 4.384 Å
α = 90.00°, β = 90.00°, γ = 120.00°
Fractional coordinates of all 12 atoms:
Cd: 0.864 0.478 0.250
Cd: 0.615 0.136 0.250
Cd: 0.522 0.385 0.250
Cd: 0.478 0.615 0.750
Cd: 0.136 0.522 0.750
Cd: 0.385 0.864 0.750
Bi: 0.752 0.733 0.250
Bi: 0.019 0.752 0.750
Bi: 0.248 0.267 0.750
Bi: 0.733 0.981 0.750
Bi: 0.267 0.019 0.250
Bi: 0.981 0.248 0.250

Properties
Total DFT energy (no corrections) (eV per atom): -2.317
Symmetry: P6_3/m (176)
Formation energy from the elements (eV/atom): 0.08


5.
Compound: LuPuAl2
Source: the Alexandria database
Functional: PBE-GGA
Structure: optimized geometry

a = 4.230 Å, b = 4.607 Å, c = 4.607 Å
α = 90.00°, β = 90.00°, γ = 90.00°
Each line ends with the local moment (μB).
Fractional coordinates of all 4 atoms:
Al: 0.000 0.500 0.000  0.00
Al: 0.000 0.000 0.500  0.00
Pu: 0.500 0.500 0.500  5.33
Lu: 0.500 0.000 0.000  0.21

Properties
Total DFT energy (no corrections) (eV per atom): -6.787
Symmetry: P4/mmm (123)
Excess energy over the best structure of this formula in the dataset (kJ/mol of formula units): 20
Formation energy from the elements (eV/atom): -0.20


6.
Compound: TbSmAg2Se4
Source: the Alexandria database
Functional: PBE-GGA
Structure: optimized geometry

a = 4.233 Å, b = 6.860 Å, c = 7.323 Å
α = 69.61°, β = 90.00°, γ = 90.00°
Fractional coordinates of all 8 atoms:
Se: 0.500 0.252 0.744
Se: 0.000 0.250 0.252
Se: 0.500 0.748 0.256
Se: 0.000 0.750 0.748
Ag: 0.500 0.000 0.500
Ag: 0.000 0.000 0.000
Tb: 0.000 0.500 0.500
Sm: 0.500 0.500 0.000

Properties
Total DFT energy (no corrections) (eV per atom): -4.787
Formation energy from raw total energies (eV/atom): -1.164
Symmetry: P2/m (10)


7.
Compound: PmNd2Sm
Source: the Alexandria database
Functional: PBE-GGA
Structure: optimized geometry

a = 5.169 Å, b = 5.175 Å, c = 5.175 Å
α = 90.00°, β = 90.00°, γ = 90.00°
Fractional coordinates of all 4 atoms:
Nd: 0.000 0.500 0.000
Nd: 0.000 0.000 0.500
Sm: 0.500 0.500 0.500
Pm: 0.500 0.000 0.000

Properties
Total DFT energy (no corrections) (eV per atom): -4.737
Symmetry: P4/mmm (123)
Excess energy over the best structure of this formula in the dataset (kJ/mol of formula units): 1
Formation energy from the elements (eV/atom): 0.01


8.
Compound: Ta3CuTe
Source: the Alexandria database
Functional: PBE-GGA
Structure: optimized geometry

a = 4.702 Å, b = 4.702 Å, c = 4.702 Å
α = 90.00°, β = 90.00°, γ = 90.00°
Fractional coordinates of all 5 atoms:
Ta: 0.000 0.500 0.000
Ta: 0.500 0.000 0.000
Ta: 0.000 0.000 0.500
Cu: 0.000 0.000 0.000
Te: 0.500 0.500 0.500

Properties
Total DFT energy (no corrections) (eV per atom): -7.435
Formation energy from raw total energies (eV/atom): 1.124
Symmetry: Pm-3m (221)
Excess energy over the best structure of this formula in the dataset (kJ/mol of formula units): 0


9.
Compound: MgSiRu
Source: the Alexandria database
Functional: PBE-GGA
Structure: optimized geometry

a = 5.533 Å, b = 7.369 Å, c = 5.959 Å
α = 90.00°, β = 122.56°, γ = 90.00°
Fractional coordinates of all 12 atoms:
Ru: 0.000 0.287 0.500
Ru: 0.000 0.713 0.500
Ru: 0.000 0.787 0.000
Ru: 0.000 0.213 0.000
Si: 0.999 0.500 0.801
Si: 0.999 0.000 0.301
Si: 0.001 0.000 0.699
Si: 0.001 0.500 0.199
Mg: 0.500 0.251 0.000
Mg: 0.500 0.749 0.000
Mg: 0.500 0.249 0.500
Mg: 0.500 0.751 0.500

Properties
Total DFT energy (no corrections) (eV per atom): -5.880
Formation energy from raw total energies (eV/atom): -0.449
Symmetry: C2/m (12)


10.
Compound: Sr5Al2Tl
Source: the Alexandria database
Functional: PBE-GGA
Structure: optimized geometry

a = 8.588 Å, b = 8.588 Å, c = 10.276 Å
α = 114.70°, β = 114.70°, γ = 90.00°
Fractional coordinates of all 16 atoms:
Sr: 0.034 0.534 0.714
Sr: 0.320 0.820 0.286
Sr: 0.000 0.000 0.000
Sr: 0.820 0.966 0.286
Sr: 0.466 0.320 0.286
Sr: 0.180 0.034 0.714
Sr: 0.680 0.180 0.714
Sr: 0.534 0.680 0.714
Sr: 0.500 0.500 0.000
Sr: 0.966 0.466 0.286
Al: 0.394 0.894 0.000
Al: 0.894 0.606 0.000
Al: 0.106 0.394 0.000
Al: 0.606 0.106 0.000
Tl: 0.750 0.750 0.500
Tl: 0.250 0.250 0.500

Properties
Total DFT energy (no corrections) (eV per atom): -2.496
Symmetry: I4/mcm (140)
Formation energy from the elements (eV/atom): -0.21


11.
Compound: LiTcIr2
Source: the Alexandria database
Functional: PBE-GGA
Structure: optimized geometry

a = 2.799 Å, b = 2.799 Å, c = 6.851 Å
α = 90.00°, β = 90.00°, γ = 90.00°
Fractional coordinates of all 4 atoms:
Tc: 0.500 0.500 0.735
Ir: 0.500 0.500 0.277
Ir: 0.000 0.000 0.997
Li: 0.000 0.000 0.491

Properties
Total DFT energy (no corrections) (eV per atom): -7.360
Symmetry: P4mm (99)
Excess energy over the best structure of this formula in the dataset (kJ/mol of formula units): 98
Formation energy from the elements (eV/atom): 0.14


12.
Compound: AlOsRu2
Source: the Alexandria database
Functional: PBE-GGA
Structure: optimized geometry

a = 4.667 Å, b = 4.667 Å, c = 4.659 Å
α = 81.27°, β = 81.27°, γ = 34.22°
Fractional coordinates of all 4 atoms:
Al: 0.250 0.250 0.250
Ru: 0.004 0.004 0.998
Ru: 0.496 0.496 0.502
Os: 0.750 0.750 0.750

Properties
Total DFT energy (no corrections) (eV per atom): -8.477
Symmetry: C2/m (12)
Formation energy from the elements (eV/atom): -0.10


13.
Compound: La2CeHo2
Source: the Alexandria database
Functional: PBE-GGA
Structure: optimized geometry

a = 5.613 Å, b = 5.613 Å, c = 8.990 Å
α = 108.19°, β = 108.19°, γ = 90.00°
Each line ends with the local moment (μB).
Fractional coordinates of all 5 atoms:
La: 0.833 0.833 0.666  0.05
La: 0.167 0.167 0.334  0.05
Ho: 0.250 0.750 0.500  -0.04
Ho: 0.750 0.250 0.500  -0.04
Ce: 0.000 0.000 0.000  0.77

Properties
Total DFT energy (no corrections) (eV per atom): -3.542
Symmetry: I4/mmm (139)
Formation energy from the elements (eV/atom): 1.45


14.
Compound: YAgHg2
Source: the Alexandria database
Functional: PBE-GGA
Structure: optimized geometry

a = 4.903 Å, b = 3.321 Å, c = 5.903 Å
α = 89.80°, β = 90.00°, γ = 90.00°
Fractional coordinates of all 4 atoms:
Ag: 0.500 0.750 0.750
Hg: 0.000 0.747 0.500
Hg: 0.000 0.753 0.000
Y: 0.500 0.250 0.250

Properties
Total DFT energy (no corrections) (eV per atom): -2.682
Symmetry: P2/m (10)
Formation energy from the elements (eV/atom): -0.20


15.
Compound: MoPdS2
Source: the Alexandria database
Functional: PBE-GGA
Structure: optimized geometry

a = 4.362 Å, b = 4.362 Å, c = 4.362 Å
α = 60.00°, β = 60.00°, γ = 60.00°
Each line ends with the local moment (μB).
Fractional coordinates of all 4 atoms:
S: 0.750 0.750 0.750  0.02
S: 0.250 0.250 0.250  0.02
Pd: 0.500 0.500 0.500  0.32
Mo: 0.000 0.000 0.000  1.24

Properties
Total DFT energy (no corrections) (eV per atom): -6.024
Formation energy from raw total energies (eV/atom): 0.045
Symmetry: Fm-3m (225)
Excess energy over the best structure of this formula in the dataset (kJ/mol of formula units): 192


16.
Compound: CeAlZnAg
Source: the Alexandria database
Functional: PBE-GGA
Structure: optimized geometry

a = 4.862 Å, b = 4.862 Å, c = 4.862 Å
α = 60.00°, β = 60.00°, γ = 60.00°
Each line ends with the local moment (μB).
Fractional coordinates of all 4 atoms:
Zn: 0.000 0.000 0.000  0.00
Ce: 0.750 0.750 0.750  0.49
Ag: 0.500 0.500 0.500  0.00
Al: 0.250 0.250 0.250  0.00

Properties
Total DFT energy (no corrections) (eV per atom): -3.703
Symmetry: F-43m (216)
Formation energy from the elements (eV/atom): -0.25